Entry 1:
Computed, not measured: crystalline SrCd2InAg at its relaxed geometry at the PBE-GGA level of DFT. Values from VASP.

```
&SYSTEM
  ibrav = 0, nat = 5, ntyp = 4
/
ATOMIC_SPECIES
Cd 112.41 Cd.upf
Ag 107.87 Ag.upf
Sr 87.62 Sr.upf
In 114.82 In.upf
CELL_PARAMETERS angstrom
-4.093 0.954 -1.595
-1.273 -4.421 0.621
0.697 3.138 6.425
ATOMIC_POSITIONS crystal
Cd 0.700 0.200 0.401
Ag 0.834 0.834 0.667
Sr 0.436 0.436 0.872
In 0.194 0.694 0.388
Cd 0.048 0.048 0.096
```

Results
SG: No. 44
Formation energy from the elements, eV per atom: -0.26
Crystal system: orthorhombic

***

Entry 2:
Computed, not measured: crystalline Ba2CaMg2 at its relaxed geometry at the PBE-GGA level of DFT. Values from VASP.

```
&SYSTEM
  ibrav = 0, nat = 10, ntyp = 3
/
ATOMIC_SPECIES
Ca 40.08 Ca.upf
Mg 24.30 Mg.upf
Ba 137.33 Ba.upf
CELL_PARAMETERS angstrom
5.880 0.000 0.000
0.000 7.507 -2.308
0.000 -0.526 9.702
ATOMIC_POSITIONS crystal
Ca 0.250 0.435 0.729
Mg 0.750 0.619 0.630
Ca 0.750 0.565 0.271
Ba 0.250 0.885 0.099
Mg 0.250 0.381 0.370
Ba 0.750 0.115 0.901
Ba 0.750 0.141 0.424
Mg 0.250 0.403 0.064
Ba 0.250 0.859 0.576
Mg 0.750 0.597 0.936
```

Results
SG: No. 11
Formation energy from the elements, eV per atom: -0.01
Energy above the most stable polymorph in this dataset, meV per atom: 0
Crystal system: monoclinic

***

Entry 3:
Computed, not measured: crystalline TbNd2SmMg at its relaxed geometry at the PBE-GGA level of DFT. Values from VASP.

```
&SYSTEM
  ibrav = 0, nat = 10, ntyp = 4
/
ATOMIC_SPECIES
Sm 150.36 Sm.upf
Nd 144.24 Nd.upf
Tb 158.93 Tb.upf
Mg 24.30 Mg.upf
CELL_PARAMETERS angstrom
7.342 0.000 0.000
0.000 7.313 1.433
0.000 -1.151 5.882
ATOMIC_POSITIONS crystal
Sm 0.845 0.500 0.250
Nd 0.689 0.717 0.750
Sm 0.155 0.500 0.750
Tb 0.372 0.000 0.750
Nd 0.689 0.283 0.750
Mg 0.000 0.000 0.000
Nd 0.311 0.717 0.250
Mg 0.000 0.000 0.500
Nd 0.311 0.283 0.250
Tb 0.628 0.000 0.250
```

Results
SG: No. 51
Formation energy from the elements, eV per atom: 0.16
Crystal system: orthorhombic

***

Entry 4:
Computed, not measured: crystalline K3Ce at its relaxed geometry at the PBE-GGA level of DFT. Values from VASP.

```
&SYSTEM
  ibrav = 0, nat = 4, ntyp = 2
/
ATOMIC_SPECIES
Ce 140.12 Ce.upf
K 39.10 K.upf
CELL_PARAMETERS angstrom
7.974 0.047 0.000
3.458 7.185 0.000
-5.716 -3.616 4.224
ATOMIC_POSITIONS crystal
Ce 0.000 0.000 0.000
K 0.500 0.500 0.000
K 0.250 0.750 0.500
K 0.750 0.250 0.500
```

Results
SG: No. 139
Formation energy from the elements, eV per atom: 0.64
Energy above the most stable polymorph in this dataset, meV per atom: 2
Crystal system: tetragonal

***

Entry 5:
Computed, not measured: crystalline NaTlZnSb at its relaxed geometry at the PBE-GGA level of DFT. Values from VASP.

```
&SYSTEM
  ibrav = 0, nat = 4, ntyp = 4
/
ATOMIC_SPECIES
Na 22.99 Na.upf
Sb 121.76 Sb.upf
Zn 65.41 Zn.upf
Tl 204.38 Tl.upf
CELL_PARAMETERS angstrom
-4.239 -2.622 1.614
0.087 -2.564 4.568
-2.795 1.782 4.057
ATOMIC_POSITIONS crystal
Na 0.500 0.500 0.500
Sb 0.750 0.750 0.750
Zn 0.000 0.000 0.000
Tl 0.250 0.250 0.250
```

Results
SG: No. 216
Raw formation energy, eV per atom: -0.04
Crystal system: cubic

***

Entry 6:
Computed, not measured: crystalline ZrGe2Sb at its relaxed geometry at the PBE-GGA level of DFT. Values from VASP.

```
&SYSTEM
  ibrav = 0, nat = 8, ntyp = 3
/
ATOMIC_SPECIES
Ge 72.64 Ge.upf
Sb 121.76 Sb.upf
Zr 91.22 Zr.upf
CELL_PARAMETERS angstrom
-5.002 -1.717 3.490
-1.317 -4.603 -4.151
0.341 -6.988 2.804
ATOMIC_POSITIONS crystal
Ge 0.875 0.870 0.750
Sb 0.000 0.000 0.000
Ge 0.130 0.625 0.250
Zr 0.500 0.500 0.000
Ge 0.620 0.125 0.250
Zr 0.250 0.750 0.500
Ge 0.375 0.380 0.750
Sb 0.750 0.250 0.500
```

Results
SG: No. 122
Raw formation energy, eV per atom: 0.28
Crystal system: tetragonal

***

Entry 7:
Computed, not measured: crystalline TlRe3O at its relaxed geometry at the PBE-GGA level of DFT. Values from VASP.

```
&SYSTEM
  ibrav = 0, nat = 5, ntyp = 3
/
ATOMIC_SPECIES
O 16.00 O.upf
Re 186.21 Re.upf
Tl 204.38 Tl.upf
CELL_PARAMETERS angstrom
4.205 0.000 0.000
0.000 4.205 0.000
0.000 0.000 4.205
ATOMIC_POSITIONS crystal
O 0.000 0.000 0.000
Re 0.500 0.000 0.000
Tl 0.500 0.500 0.500
Re 0.000 0.000 0.500
Re 0.000 0.500 0.000
```

Results
SG: No. 221
Raw formation energy, eV per atom: 0.94
Energy above the most stable polymorph in this dataset, meV per atom: 0
Crystal system: cubic

***

Entry 8:
Computed, not measured: crystalline BaHg7Pb5 at its relaxed geometry at the PBE-GGA level of DFT. Values from VASP.

```
&SYSTEM
  ibrav = 0, nat = 13, ntyp = 3
/
ATOMIC_SPECIES
Hg 200.59 Hg.upf
Pb 207.20 Pb.upf
Ba 137.33 Ba.upf
CELL_PARAMETERS angstrom
6.803 0.000 0.000
3.401 7.666 -0.237
3.401 -0.262 7.665
ATOMIC_POSITIONS crystal
Hg 0.268 0.232 0.232
Pb 0.496 0.497 0.011
Hg 0.496 0.820 0.188
Hg 0.999 0.652 0.350
Hg 0.365 0.635 0.635
Pb 0.996 0.497 0.011
Pb 0.996 0.011 0.497
Hg 0.999 0.350 0.652
Hg 0.496 0.188 0.820
Pb 0.496 0.011 0.497
Hg 0.647 0.353 0.353
Pb 0.738 0.762 0.762
Ba 0.008 0.992 0.992
```

Results
SG: No. 44
Formation energy from the elements, eV per atom: -0.08
Crystal system: orthorhombic

***

Entry 9:
Computed, not measured: crystalline PaCo2GeN at its relaxed geometry at the PBE-GGA level of DFT. Values from VASP.

```
&SYSTEM
  ibrav = 0, nat = 10, ntyp = 4
/
ATOMIC_SPECIES
N 14.01 N.upf
Co 58.93 Co.upf
Ge 72.64 Ge.upf
Pa 231.04 Pa.upf
CELL_PARAMETERS angstrom
3.463 0.000 0.000
-1.731 5.670 0.000
0.000 0.000 6.890
ATOMIC_POSITIONS crystal
N 0.000 0.000 0.000
Co 0.164 0.328 0.549
Ge 0.734 0.468 0.750
Pa 0.462 0.925 0.750
Co 0.164 0.328 0.951
Co 0.836 0.672 0.049
Co 0.836 0.672 0.451
Ge 0.266 0.532 0.250
Pa 0.538 0.075 0.250
N 0.000 0.000 0.500
```

Results
SG: No. 63
Raw formation energy, eV per atom: -0.73
Crystal system: orthorhombic

***

Entry 10:
Computed, not measured: crystalline Ni2AsS at its relaxed geometry at the PBE-GGA level of DFT. Values from VASP.

```
&SYSTEM
  ibrav = 0, nat = 4, ntyp = 3
/
ATOMIC_SPECIES
Ni 58.69 Ni.upf
As 74.92 As.upf
S 32.06 S.upf
CELL_PARAMETERS angstrom
-2.975 -0.540 1.872
0.557 -1.878 -3.034
3.084 -3.309 3.943
ATOMIC_POSITIONS crystal
Ni 0.674 0.373 0.017
Ni 0.438 0.899 0.603
As 0.382 0.787 0.207
S 0.784 0.591 0.692
```

Results
SG: No. 8
Raw formation energy, eV per atom: -0.21
Energy above the most stable polymorph in this dataset, meV per atom: 0
Crystal system: monoclinic

***

Entry 11:
Computed, not measured: crystalline MgAuCl3 at its relaxed geometry at the PBE-GGA level of DFT. Values from VASP.

```
&SYSTEM
  ibrav = 0, nat = 5, ntyp = 3
/
ATOMIC_SPECIES
Cl 35.45 Cl.upf
Mg 24.30 Mg.upf
Au 196.97 Au.upf
CELL_PARAMETERS angstrom
4.898 0.000 0.000
0.000 4.898 0.000
0.000 0.000 4.898
ATOMIC_POSITIONS crystal
Cl 0.000 0.500 0.000
Mg 0.000 0.000 0.000
Au 0.500 0.500 0.500
Cl 0.500 0.000 0.000
Cl 0.000 0.000 0.500
```

Results
SG: No. 221
Raw formation energy, eV per atom: -0.73
Energy above the most stable polymorph in this dataset, meV per atom: 0
Crystal system: cubic

***

Entry 12:
Computed, not measured: crystalline Li2Nd3Zn3 at its relaxed geometry at the PBE-GGA level of DFT. Values from VASP.

```
&SYSTEM
  ibrav = 0, nat = 8, ntyp = 3
/
ATOMIC_SPECIES
Zn 65.41 Zn.upf
Nd 144.24 Nd.upf
Li 6.94 Li.upf
CELL_PARAMETERS angstrom
0.140 2.370 -2.718
-4.611 -1.751 -1.764
-2.540 6.518 7.949
ATOMIC_POSITIONS crystal
Zn 0.000 0.500 0.000
Nd 0.500 0.000 0.000
Li 0.267 0.767 0.534
Li 0.733 0.233 0.466
Zn 0.868 0.868 0.736
Nd 0.626 0.626 0.251
Zn 0.132 0.132 0.264
Nd 0.374 0.374 0.749
```

Results
SG: No. 71
Formation energy from the elements, eV per atom: -0.19
Crystal system: orthorhombic

***

no.,total energy (eV per atom),size of the total moment (μB per formula unit)
1,-2.08,0.00
2,-1.82,0.00
3,-3.94,0.00
4,-1.67,2.52
5,-2.31,0.00
6,-5.20,0.00
7,-7.99,1.53
8,-1.82,0.00
9,-8.06,0.65
10,-5.30,0.00
11,-2.82,0.00
12,-2.93,0.00